Material: Re2Sb
Method: DFT, GGA-PBEsol
State: optimized geometry

Properties
**Uncorrected energy**: -60.41 eV per cell
**SG**: No. 12
**Total magnetic moment**: 0.00 Bohr magnetons per cell
**Formation energy without anion corrections**: 338 meV per atom
**Mass density**: 15.68 g/cm³

Lattice parameters (Å, degrees): 6.023 6.023 6.829 115.98 115.98 28.27
Sites, in units of the cell vectors:
Re1 0.060 0.060 0.226
Re2 0.355 0.355 0.001
Re3 0.645 0.645 0.999
Re4 0.940 0.940 0.774
Sb1 0.334 0.334 0.382
Sb2 0.666 0.666 0.618

Material: BaPdI3
Method: DFT, GGA-PBEsol
State: optimized geometry

Properties
**Uncorrected energy**: -18.37 eV per cell
**SG**: No. 221
**Total magnetic moment**: 0.00 Bohr magnetons per cell
**Formation energy without anion corrections**: -991 meV per atom
**Mass density**: 6.18 g/cm³

Lattice parameters (Å, degrees): 5.515 5.515 5.515 90.00 90.00 90.00
Sites, in units of the cell vectors:
Ba1 0.000 0.000 0.000
Pd1 0.500 0.500 0.500
I1 0.000 0.500 0.500
I2 0.500 0.000 0.500
I3 0.500 0.500 0.000

Material: MnTlFe
Method: DFT, GGA-PBEsol
State: optimized geometry

Properties
**Uncorrected energy**: -19.88 eV per cell
**SG**: No. 107
**Formation enthalpy at 0 K**: 0.4910 eV/atom
**Total magnetic moment**: 4.12 Bohr magnetons per cell
**Mass density**: 11.95 g/cm³

Lattice parameters (Å, degrees): 5.135 5.135 5.135 145.24 145.24 49.98
Sites, in units of the cell vectors:
Mn1 0.000 0.000 0.000
Tl1 0.696 0.696 0.000
Fe1 0.387 0.387 0.000

Material: Y2MnSbN
Method: DFT, GGA-PBEsol
State: optimized geometry

Properties
**Uncorrected energy**: -30.26 eV per cell
**SG**: No. 123
**Total magnetic moment**: 3.26 Bohr magnetons per cell
**Formation energy without anion corrections**: 1246 meV per atom
**Mass density**: 4.17 g/cm³

Lattice parameters (Å, degrees): 5.606 5.606 4.673 90.00 90.00 90.00
Sites, in units of the cell vectors:
Y1 0.000 0.500 0.000
Y2 0.500 0.000 0.000
Mn1 0.000 0.000 0.500
Sb1 0.000 0.000 0.000
N1 0.500 0.500 0.500

Material: Al4PbSe
Method: DFT, GGA-PBEsol
State: optimized geometry

Properties
**Uncorrected energy**: -23.18 eV per cell
**SG**: No. 216
**Total magnetic moment**: 0.00 Bohr magnetons per cell
**Formation energy without anion corrections**: 172 meV per atom
**Mass density**: 5.40 g/cm³

Lattice parameters (Å, degrees): 5.555 5.555 5.555 60.00 60.00 60.00
Sites, in units of the cell vectors:
Al1 0.125 0.125 0.125
Al2 0.125 0.125 0.626
Al3 0.125 0.626 0.125
Al4 0.626 0.125 0.125
Pb1 0.500 0.500 0.500
Se1 0.750 0.750 0.750

Material: P2Pd2Pb
Method: DFT, GGA-PBEsol
State: optimized geometry

Properties
**Uncorrected energy**: -28.17 eV per cell
**SG**: No. 139
**Formation enthalpy at 0 K**: -0.1344 eV/atom
**Total magnetic moment**: 0.00 Bohr magnetons per cell
**Mass density**: 8.75 g/cm³

Lattice parameters (Å, degrees): 5.684 5.684 5.684 134.66 134.66 66.06
Sites, in units of the cell vectors:
P1 0.250 0.750 0.500
P2 0.750 0.250 0.500
Pd1 0.146 0.146 0.000
Pd2 0.854 0.854 0.000
Pb1 0.500 0.500 0.000

Material: ReRu2W
Method: DFT, GGA-PBEsol
State: optimized geometry

Properties
**Uncorrected energy**: -47.26 eV per cell
**SG**: No. 119
**Formation enthalpy at 0 K**: 0.0572 eV/atom
**Total magnetic moment**: 0.00 Bohr magnetons per cell
**Mass density**: 16.66 g/cm³

Lattice parameters (Å, degrees): 4.731 4.731 4.731 132.18 132.18 69.95
Sites, in units of the cell vectors:
Re1 0.000 0.000 0.000
Ru1 0.500 0.500 0.000
Ru2 0.750 0.250 0.500
W1 0.250 0.750 0.500

Material: Ni3HAu
Method: DFT, GGA-PBEsol
State: optimized geometry

Properties
**Uncorrected energy**: -25.74 eV per cell
**SG**: No. 221
**Total magnetic moment**: 0.76 Bohr magnetons per cell
**Mass density**: 12.50 g/cm³

Lattice parameters (Å, degrees): 3.677 3.677 3.677 90.00 90.00 90.00
Sites, in units of the cell vectors:
Ni1 0.000 0.000 0.500
Ni2 0.000 0.500 0.000
Ni3 0.500 0.000 0.000
H1 0.000 0.000 0.000
Au1 0.500 0.500 0.500

Material: YCd2Hg
Method: DFT, GGA-PBEsol
State: optimized geometry

Properties
**Uncorrected energy**: -11.38 eV per cell
**SG**: No. 216
**Formation enthalpy at 0 K**: -0.3988 eV/atom
**Total magnetic moment**: 0.00 Bohr magnetons per cell
**Mass density**: 9.78 g/cm³

Lattice parameters (Å, degrees): 4.980 4.980 4.980 60.00 60.00 60.00
Sites, in units of the cell vectors:
Y1 0.000 0.000 0.000
Cd1 0.250 0.250 0.250
Cd2 0.500 0.500 0.500
Hg1 0.750 0.750 0.750

Material: NaBe2Au2
Method: DFT, GGA-PBEsol
State: optimized geometry

Properties
**Uncorrected energy**: -36.22 eV per cell
**SG**: No. 127
**Formation enthalpy at 0 K**: -0.1724 eV/atom
**Total magnetic moment**: 0.00 Bohr magnetons per cell
**Mass density**: 10.32 g/cm³

Lattice parameters (Å, degrees): 7.202 7.202 2.700 90.00 90.00 90.00
Sites, in units of the cell vectors:
Na1 0.000 0.000 0.000
Na2 0.500 0.500 0.000
Be1 0.116 0.384 0.000
Be2 0.384 0.884 0.000
Be3 0.616 0.116 0.000
Be4 0.884 0.616 0.000
Au1 0.175 0.675 0.500
Au2 0.325 0.175 0.500
Au3 0.675 0.825 0.500
Au4 0.825 0.325 0.500

Material: LiZr2Pt2
Method: DFT, GGA-PBEsol
State: optimized geometry

Properties
**Uncorrected energy**: -75.99 eV per cell
**SG**: No. 127
**Formation enthalpy at 0 K**: -0.7844 eV/atom
**Total magnetic moment**: 0.00 Bohr magnetons per cell
**Mass density**: 10.27 g/cm³

Lattice parameters (Å, degrees): 7.577 7.577 3.264 90.00 90.00 90.00
Sites, in units of the cell vectors:
Li1 0.000 0.000 0.000
Li2 0.500 0.500 0.000
Zr1 0.164 0.336 0.500
Zr2 0.336 0.836 0.500
Zr3 0.664 0.164 0.500
Zr4 0.836 0.664 0.500
Pt1 0.135 0.635 0.000
Pt2 0.365 0.135 0.000
Pt3 0.635 0.865 0.000
Pt4 0.865 0.365 0.000

Material: NaTaCu3
Method: DFT, GGA-PBEsol
State: optimized geometry

Properties
**Uncorrected energy**: -19.35 eV per cell
**SG**: No. 221
**Formation enthalpy at 0 K**: 1.5213 eV/atom
**Total magnetic moment**: 0.62 Bohr magnetons per cell
**Mass density**: 8.52 g/cm³

Lattice parameters (Å, degrees): 4.252 4.252 4.252 90.00 90.00 90.00
Sites, in units of the cell vectors:
Na1 0.000 0.000 0.000
Ta1 0.500 0.500 0.500
Cu1 0.000 0.000 0.500
Cu2 0.000 0.500 0.000
Cu3 0.500 0.000 0.000

Record-wise density of states at the Fermi level values, in states/eV per cell: 3.482; 1.081; 1.747; 3.428; 3.087; 2.124; 3.110; 7.928; 1.149; 2.281; 7.417; 6.191